[1]
First-principles (PBE-GGA) data for a geometry-optimized K2TlAgBr5 structure, as listed in Alexandria.

CIF file:
```
data_K2TlAgBr5
_symmetry_space_group_name_H-M 'C m c 21'
_symmetry_Int_Tables_number 36
_cell_length_a 4.532
_cell_length_b 19.207
_cell_length_c 13.985
_cell_angle_alpha 90.00
_cell_angle_beta 90.00
_cell_angle_gamma 90.00
loop_
_symmetry_equiv_pos_as_xyz
'x,y,z'
'-x,-y,z+1/2'
'-x,y,z'
'x,-y,z+1/2'
'x+1/2,y+1/2,z'
'-x+1/2,-y+1/2,z+1/2'
'-x+1/2,y+1/2,z'
'x+1/2,-y+1/2,z+1/2'
loop_
_atom_site_label
_atom_site_fract_x
_atom_site_fract_y
_atom_site_fract_z
_atom_site_occupancy
K1 0.000 0.108 0.000 1
K2 0.000 0.128 0.611 1
Tl1 0.000 0.213 0.319 1
Ag1 0.000 0.487 0.767 1
Br1 0.000 0.056 0.352 1
Br2 0.000 0.281 0.970 1
Br3 0.000 0.300 0.672 1
Br4 0.000 0.369 0.310 1
Br5 0.000 0.496 0.079 1
```

Output
E_form (uncorrected) in eV per atom: -1.03
Crystal system: orthorhombic
Total moment in μB per formula unit: 0.00

=====

[2]
First-principles (PBE-GGA) data for a geometry-optimized KTl2AgBr5 structure, as listed in Alexandria.

CIF file:
```
data_KTl2AgBr5
_symmetry_space_group_name_H-M 'C m c 21'
_symmetry_Int_Tables_number 36
_cell_length_a 4.333
_cell_length_b 22.447
_cell_length_c 12.858
_cell_angle_alpha 90.00
_cell_angle_beta 90.00
_cell_angle_gamma 90.00
loop_
_symmetry_equiv_pos_as_xyz
'x,y,z'
'-x,-y,z+1/2'
'-x,y,z'
'x,-y,z+1/2'
'x+1/2,y+1/2,z'
'-x+1/2,-y+1/2,z+1/2'
'-x+1/2,y+1/2,z'
'x+1/2,-y+1/2,z+1/2'
loop_
_atom_site_label
_atom_site_fract_x
_atom_site_fract_y
_atom_site_fract_z
_atom_site_occupancy
K1 0.000 0.215 0.000 1
Tl1 0.000 0.094 0.667 1
Tl2 0.000 0.115 0.296 1
Ag1 0.000 0.433 0.438 1
Br1 0.000 0.060 0.055 1
Br2 0.000 0.300 0.697 1
Br3 0.000 0.332 0.324 1
Br4 0.000 0.363 0.991 1
Br5 0.000 0.493 0.777 1
```

Output
E_form (uncorrected) in eV per atom: -0.80
Crystal system: orthorhombic
Total moment in μB per formula unit: 0.00

=====

[3]
First-principles (PBE-GGA) data for a geometry-optimized KTl2AgBr8 structure, as listed in Alexandria.

CIF file:
```
data_KTl2AgBr8
_symmetry_space_group_name_H-M 'I -4'
_symmetry_Int_Tables_number 82
_cell_length_a 6.852
_cell_length_b 6.852
_cell_length_c 18.628
_cell_angle_alpha 90.00
_cell_angle_beta 90.00
_cell_angle_gamma 90.00
loop_
_symmetry_equiv_pos_as_xyz
'x,y,z'
'y,-x,-z'
'-x,-y,z'
'-y,x,-z'
'x+1/2,y+1/2,z+1/2'
'y+1/2,-x+1/2,-z+1/2'
'-x+1/2,-y+1/2,z+1/2'
'-y+1/2,x+1/2,-z+1/2'
loop_
_atom_site_label
_atom_site_fract_x
_atom_site_fract_y
_atom_site_fract_z
_atom_site_occupancy
K1 0.000 0.000 0.000 1
Tl1 0.000 0.000 0.500 1
Tl2 0.000 0.500 0.250 1
Ag1 0.000 0.500 0.750 1
Br1 0.192 0.238 0.585 1
Br2 0.203 0.782 0.184 1
```

Output
E_form (uncorrected) in eV per atom: -0.64
Crystal system: tetragonal
Total moment in μB per formula unit: 0.00

=====

[4]
First-principles (PBE-GGA) data for a geometry-optimized KTl3Ag2Br6 structure, as listed in Alexandria.

CIF file:
```
data_KTl3Ag2Br6
_symmetry_space_group_name_H-M 'C 1 2/m 1'
_symmetry_Int_Tables_number 12
_cell_length_a 7.856
_cell_length_b 13.226
_cell_length_c 8.004
_cell_angle_alpha 90.00
_cell_angle_beta 109.27
_cell_angle_gamma 90.00
loop_
_symmetry_equiv_pos_as_xyz
'x,y,z'
'-x,-y,-z'
'-x,y,-z'
'x,-y,z'
'x+1/2,y+1/2,z'
'-x+1/2,-y+1/2,-z'
'-x+1/2,y+1/2,-z'
'x+1/2,-y+1/2,z'
loop_
_atom_site_label
_atom_site_fract_x
_atom_site_fract_y
_atom_site_fract_z
_atom_site_occupancy
K1 0.000 0.000 0.000 1
Tl1 0.000 0.158 0.500 1
Tl2 0.000 0.500 0.500 1
Ag1 0.000 0.332 0.000 1
Br1 0.205 0.500 0.207 1
Br2 0.247 0.182 0.225 1
```

Output
E_form (uncorrected) in eV per atom: -0.80
Crystal system: monoclinic
Total moment in μB per formula unit: 0.00

=====

[5]
First-principles (PBE-GGA) data for a geometry-optimized KTlAgBr5 structure, as listed in Alexandria.

CIF file:
```
data_KTlAgBr5
_symmetry_space_group_name_H-M 'C 1 2/c 1'
_symmetry_Int_Tables_number 15
_cell_length_a 9.968
_cell_length_b 13.198
_cell_length_c 9.689
_cell_angle_alpha 90.00
_cell_angle_beta 111.44
_cell_angle_gamma 90.00
loop_
_symmetry_equiv_pos_as_xyz
'x,y,z'
'-x,-y,-z'
'-x,y,-z+1/2'
'x,-y,z+1/2'
'x+1/2,y+1/2,z'
'-x+1/2,-y+1/2,-z'
'-x+1/2,y+1/2,-z+1/2'
'x+1/2,-y+1/2,z+1/2'
loop_
_atom_site_label
_atom_site_fract_x
_atom_site_fract_y
_atom_site_fract_z
_atom_site_occupancy
K1 0.000 0.174 0.250 1
Tl1 0.000 0.160 0.750 1
Ag1 0.000 0.500 0.000 1
Br1 0.000 0.423 0.250 1
Br2 0.119 0.280 0.609 1
Br3 0.183 0.042 0.953 1
```

Output
E_form (uncorrected) in eV per atom: -0.76
Crystal system: monoclinic
Total moment in μB per formula unit: 0.00

=====

[6]
First-principles (PBE-GGA) data for a geometry-optimized KTlAg2Br4 structure, as listed in Alexandria.

CIF file:
```
data_KTlAg2Br4
_symmetry_space_group_name_H-M 'I 2 2 2'
_symmetry_Int_Tables_number 23
_cell_length_a 8.012
_cell_length_b 8.018
_cell_length_c 8.458
_cell_angle_alpha 90.00
_cell_angle_beta 90.00
_cell_angle_gamma 90.00
loop_
_symmetry_equiv_pos_as_xyz
'x,y,z'
'-x,-y,z'
'x,-y,-z'
'-x,y,-z'
'x+1/2,y+1/2,z+1/2'
'-x+1/2,-y+1/2,z+1/2'
'x+1/2,-y+1/2,-z+1/2'
'-x+1/2,y+1/2,-z+1/2'
loop_
_atom_site_label
_atom_site_fract_x
_atom_site_fract_y
_atom_site_fract_z
_atom_site_occupancy
K1 0.000 0.000 0.000 1
Tl1 0.000 0.000 0.500 1
Ag1 0.000 0.500 0.181 1
Br1 0.221 0.277 0.793 1
```

Output
E_form (uncorrected) in eV per atom: -0.80
Crystal system: orthorhombic
Total moment in μB per formula unit: 0.00

=====

[7]
First-principles (PBE-GGA) data for a geometry-optimized K2Tl3AgBr6 structure, as listed in Alexandria.

CIF file:
```
data_K2Tl3AgBr6
_symmetry_space_group_name_H-M 'C 1 2/m 1'
_symmetry_Int_Tables_number 12
_cell_length_a 8.045
_cell_length_b 13.721
_cell_length_c 8.143
_cell_angle_alpha 90.00
_cell_angle_beta 109.44
_cell_angle_gamma 90.00
loop_
_symmetry_equiv_pos_as_xyz
'x,y,z'
'-x,-y,-z'
'-x,y,-z'
'x,-y,z'
'x+1/2,y+1/2,z'
'-x+1/2,-y+1/2,-z'
'-x+1/2,y+1/2,-z'
'x+1/2,-y+1/2,z'
loop_
_atom_site_label
_atom_site_fract_x
_atom_site_fract_y
_atom_site_fract_z
_atom_site_occupancy
K1 0.000 0.164 0.000 1
Tl1 0.000 0.000 0.500 1
Tl2 0.000 0.329 0.500 1
Ag1 0.000 0.500 0.000 1
Br1 0.222 0.349 0.222 1
Br2 0.234 0.500 0.750 1
```

Output
E_form (uncorrected) in eV per atom: -1.05
Crystal system: monoclinic
Total moment in μB per formula unit: 0.00

=====

[8]
First-principles (PBE-GGA) data for a geometry-optimized KTlAgBr3 structure, as listed in Alexandria.

CIF file:
```
data_KTlAgBr3
_symmetry_space_group_name_H-M 'P 1 21/m 1'
_symmetry_Int_Tables_number 11
_cell_length_a 9.760
_cell_length_b 4.521
_cell_length_c 10.108
_cell_angle_alpha 90.00
_cell_angle_beta 99.15
_cell_angle_gamma 90.00
loop_
_symmetry_equiv_pos_as_xyz
'x,y,z'
'-x,-y,-z'
'-x,y+1/2,-z'
'x,-y+1/2,z'
loop_
_atom_site_label
_atom_site_fract_x
_atom_site_fract_y
_atom_site_fract_z
_atom_site_occupancy
K1 0.149 0.250 0.169 1
Tl1 0.325 0.750 0.808 1
Ag1 0.420 0.750 0.416 1
Br1 0.096 0.250 0.841 1
Br2 0.293 0.250 0.498 1
Br3 0.395 0.750 0.145 1
```

Output
E_form (uncorrected) in eV per atom: -0.97
Crystal system: monoclinic
Total moment in μB per formula unit: 0.00

=====

[9]
First-principles (PBE-GGA) data for a geometry-optimized K3Tl4AgBr8 structure, as listed in Alexandria.

CIF file:
```
data_K3Tl4AgBr8
_symmetry_space_group_name_H-M 'C 1 2/m 1'
_symmetry_Int_Tables_number 12
_cell_length_a 16.237
_cell_length_b 9.244
_cell_length_c 9.373
_cell_angle_alpha 90.00
_cell_angle_beta 124.54
_cell_angle_gamma 90.00
loop_
_symmetry_equiv_pos_as_xyz
'x,y,z'
'-x,-y,-z'
'-x,y,-z'
'x,-y,z'
'x+1/2,y+1/2,z'
'-x+1/2,-y+1/2,-z'
'-x+1/2,y+1/2,-z'
'x+1/2,-y+1/2,z'
loop_
_atom_site_label
_atom_site_fract_x
_atom_site_fract_y
_atom_site_fract_z
_atom_site_occupancy
K1 0.000 0.000 0.000 1
K2 0.250 0.250 0.000 1
Tl1 0.000 0.000 0.500 1
Tl2 0.000 0.500 0.500 1
Tl3 0.250 0.250 0.500 1
Ag1 0.000 0.500 0.000 1
Br1 0.002 0.275 0.780 1
Br2 0.245 0.000 0.750 1
Br3 0.248 0.000 0.243 1
```

Output
E_form (uncorrected) in eV per atom: -1.11
Crystal system: monoclinic
Total moment in μB per formula unit: 0.00

=====

[10]
First-principles (PBE-GGA) data for a geometry-optimized KTl2Ag2Br7 structure, as listed in Alexandria.

CIF file:
```
data_KTl2Ag2Br7
_symmetry_space_group_name_H-M 'C 1 2/m 1'
_symmetry_Int_Tables_number 12
_cell_length_a 7.716
_cell_length_b 7.675
_cell_length_c 13.976
_cell_angle_alpha 90.00
_cell_angle_beta 105.93
_cell_angle_gamma 90.00
loop_
_symmetry_equiv_pos_as_xyz
'x,y,z'
'-x,-y,-z'
'-x,y,-z'
'x,-y,z'
'x+1/2,y+1/2,z'
'-x+1/2,-y+1/2,-z'
'-x+1/2,y+1/2,-z'
'x+1/2,-y+1/2,z'
loop_
_atom_site_label
_atom_site_fract_x
_atom_site_fract_y
_atom_site_fract_z
_atom_site_occupancy
K1 0.000 0.000 0.000 1
Tl1 0.218 0.000 0.360 1
Ag1 0.097 0.500 0.200 1
Br1 0.000 0.500 0.000 1
Br2 0.156 0.248 0.810 1
Br3 0.179 0.500 0.400 1
```

Output
E_form (uncorrected) in eV per atom: -0.69
Crystal system: monoclinic
Total moment in μB per formula unit: 0.00

=====

[11]
First-principles (PBE-GGA) data for a geometry-optimized K3Tl3AgBr8 structure, as listed in Alexandria.

CIF file:
```
data_K3Tl3AgBr8
_symmetry_space_group_name_H-M 'C 1 2/m 1'
_symmetry_Int_Tables_number 12
_cell_length_a 16.165
_cell_length_b 9.363
_cell_length_c 9.466
_cell_angle_alpha 90.00
_cell_angle_beta 124.89
_cell_angle_gamma 90.00
loop_
_symmetry_equiv_pos_as_xyz
'x,y,z'
'-x,-y,-z'
'-x,y,-z'
'x,-y,z'
'x+1/2,y+1/2,z'
'-x+1/2,-y+1/2,-z'
'-x+1/2,y+1/2,-z'
'x+1/2,-y+1/2,z'
loop_
_atom_site_label
_atom_site_fract_x
_atom_site_fract_y
_atom_site_fract_z
_atom_site_occupancy
K1 0.000 0.000 0.000 1
K2 0.250 0.250 0.000 1
Tl1 0.000 0.500 0.500 1
Tl2 0.250 0.250 0.500 1
Ag1 0.000 0.500 0.000 1
Br1 0.001 0.281 0.784 1
Br2 0.203 0.500 0.201 1
Br3 0.247 0.000 0.243 1
```

Output
E_form (uncorrected) in eV per atom: -1.06
Crystal system: monoclinic
Total moment in μB per formula unit: 1.18

=====

[12]
First-principles (PBE-GGA) data for a geometry-optimized K2TlAgBr4 structure, as listed in Alexandria.

CIF file:
```
data_K2TlAgBr4
_symmetry_space_group_name_H-M 'C m c m'
_symmetry_Int_Tables_number 63
_symmetry_space_group_name_Hall '-C 2c 2'
_cell_length_a 4.580
_cell_length_b 15.338
_cell_length_c 16.437
_cell_angle_alpha 90.00
_cell_angle_beta 90.00
_cell_angle_gamma 90.00
loop_
_atom_site_label
_atom_site_fract_x
_atom_site_fract_y
_atom_site_fract_z
_atom_site_occupancy
K1 0.000 0.131 0.055 1
Tl1 0.000 0.377 0.250 1
Ag1 0.000 0.347 0.750 1
Br1 0.000 0.056 0.250 1
Br2 0.000 0.226 0.628 1
Br3 0.000 0.500 0.000 1
```

Output
E_form (uncorrected) in eV per atom: -1.16
Crystal system: orthorhombic
Total moment in μB per formula unit: 0.00

=====

- E_form (uncorrected) of number 1 (K2TlAgBr5)?
  -1.03 eV per atom

=====

- What is the E_form (uncorrected) in the ninth record?
  -1.11 eV per atom